Version i
NiOsSe2 (meta-GGA SCAN, single point on PBEsol structure); density of states at the Fermi level = 3.52 states/eV/cell
1.0
0.000 3.103 3.103
3.103 0.000 3.103
3.103 3.103 0.000
Ni Os Se
1 1 2
Direct
0.000 0.000 0.000
0.250 0.250 0.250
0.500 0.500 0.500
0.750 0.750 0.750

Version ii
NiOsSe2 (meta-GGA SCAN, single point on PBEsol structure); density of states at the Fermi level = 4.00 states/eV/cell
1.0
1.453 -2.413 0.000
1.453 2.413 0.000
0.000 0.000 9.225
Ni Os Se
1 1 2
Direct
0.000 0.000 0.000
0.500 0.500 0.227
0.000 0.000 0.447
0.500 0.500 0.799

Most stable one: version ii, least stable one: version i.

Version i
SrNiOs2 (meta-GGA SCAN, single point on PBEsol structure); density of states at the Fermi level = 2.64 states/eV/cell
1.0
2.390 -3.428 0.000
2.390 3.428 0.000
0.000 0.000 4.422
Sr Ni Os
1 1 2
Direct
0.000 0.000 0.000
0.500 0.500 0.000
0.320 0.680 0.500
0.680 0.320 0.500

Version ii
SrNiOs2 (meta-GGA SCAN, single point on PBEsol structure); density of states at the Fermi level = 3.68 states/eV/cell
1.0
2.793 0.000 0.000
0.000 3.584 0.000
0.000 0.000 6.985
Sr Ni Os
1 1 2
Direct
0.000 0.000 0.000
0.500 0.500 0.301
0.000 0.000 0.491
0.500 0.500 0.660

Most stable one: version ii, least stable one: version i.

Version i
TlNi2Os (meta-GGA SCAN, single point on PBEsol structure); density of states at the Fermi level = 3.61 states/eV/cell
1.0
1.400 0.808 8.405
-1.400 0.808 8.405
0.000 -1.617 8.405
Tl Ni Os
1 2 1
Direct
0.000 0.000 0.000
0.244 0.244 0.244
0.756 0.756 0.756
0.500 0.500 0.500

Version ii
TlNi2Os (meta-GGA SCAN, single point on PBEsol structure); density of states at the Fermi level = 3.44 states/eV/cell
1.0
4.506 0.000 0.000
0.000 4.506 0.000
0.000 0.000 2.720
Tl Ni Os
1 2 1
Direct
0.000 0.000 0.000
0.000 0.500 0.500
0.500 0.000 0.500
0.500 0.500 0.000

Most stable one: version i, least stable one: version ii.

Version i
NiOs2W (meta-GGA SCAN, single point on PBEsol structure); density of states at the Fermi level = 3.86 states/eV/cell
1.0
-1.367 2.186 4.572
1.367 -2.186 4.572
1.367 2.186 -4.572
Ni Os W
1 2 1
Direct
0.000 0.000 0.000
0.221 0.721 0.500
0.779 0.279 0.500
0.500 0.500 0.000

Version ii
NiOs2W (meta-GGA SCAN, single point on PBEsol structure); density of states at the Fermi level = 2.50 states/eV/cell
1.0
4.342 -1.354 0.000
4.342 1.354 0.000
-0.772 0.000 4.656
Ni Os W
1 2 1
Direct
0.000 0.000 0.000
0.252 0.252 0.768
0.748 0.748 0.232
0.500 0.500 0.500

Version iii
NiOs2W (meta-GGA SCAN, single point on PBEsol structure); density of states at the Fermi level = 1.47 states/eV/cell
1.0
3.821 0.000 0.000
0.000 3.821 0.000
0.000 0.000 3.708
Ni Os W
1 2 1
Direct
0.000 0.000 0.000
0.000 0.500 0.500
0.500 0.000 0.500
0.500 0.500 0.000

Most stable one: version iii, least stable one: version i.

Version i
YNiOs2 (meta-GGA SCAN, single point on PBEsol structure); density of states at the Fermi level = 4.69 states/eV/cell
1.0
-1.910 1.910 4.299
1.910 -1.910 4.299
1.910 1.910 -4.299
Y Ni Os
1 1 2
Direct
0.000 0.000 0.000
0.500 0.500 0.000
0.250 0.750 0.500
0.750 0.250 0.500

Version ii
YNiOs2 (meta-GGA SCAN, single point on PBEsol structure); density of states at the Fermi level = 5.57 states/eV/cell
1.0
1.377 0.795 9.250
-1.377 0.795 9.250
0.000 -1.590 9.250
Y Ni Os
1 1 2
Direct
0.000 0.000 0.000
0.500 0.500 0.500
0.238 0.238 0.238
0.762 0.762 0.762

Most stable one: version i, least stable one: version ii.

Version i
ZrNiOs (meta-GGA SCAN, single point on PBEsol structure); density of states at the Fermi level = 2.27 states/eV/cell
1.0
0.000 2.991 2.991
2.991 0.000 2.991
2.991 2.991 0.000
Zr Ni Os
1 1 1
Direct
0.000 0.000 0.000
0.750 0.750 0.750
0.250 0.250 0.250

Version ii
ZrNiOs (meta-GGA SCAN, single point on PBEsol structure); density of states at the Fermi level = 4.40 states/eV/cell
1.0
-1.387 1.387 5.805
1.387 -1.387 5.805
1.387 1.387 -5.805
Zr Ni Os
1 1 1
Direct
0.000 0.000 0.000
0.675 0.675 0.000
0.311 0.311 0.000

Most stable one: version ii, least stable one: version i.